(1)
Compound: NdGaAgPb
Source: Alexandria
Functional: GGA-PBE
Structure: relaxed

Structure (POSCAR):
```
NdGaAgPb
1.0
-0.534 0.911 -5.066
4.019 -0.679 -3.189
0.006 -3.942 -3.353
Ga Ag Nd Pb
1 1 1 1
direct
0.750 0.750 0.750 Ga
0.250 0.250 0.250 Ag
0.000 0.000 0.000 Nd
0.500 0.500 0.500 Pb
```

Calculated values
The formation energy from the elements is -0.24 eV/atom. As for the energy: -3.83 eV per atom. The density of states at the Fermi level is 2.65 states/eV/f.u. Its space-group type is No. 216.

***

(2)
Compound: AcCl2F2
Source: Alexandria
Functional: GGA-PBE
Structure: relaxed

Structure (POSCAR):
```
AcCl2F2
1.0
-2.813 2.837 1.776
-3.954 0.784 -1.693
-3.562 -4.755 3.985
Cl Ac F
2 1 2
direct
0.597 0.597 0.338 Cl
0.403 0.403 0.662 Cl
0.000 0.000 0.000 Ac
0.320 0.320 0.072 F
0.680 0.680 0.928 F
```

Calculated values
As for the energy: -4.99 eV per atom. The formation energy (no corrections) is -13.389 eV/f.u. Its space-group type is No. 12.

***

(3)
Compound: La2AlZn2
Source: Alexandria
Functional: GGA-PBE
Structure: relaxed

Structure (POSCAR):
```
La2AlZn2
1.0
3.626 0.000 0.000
0.000 3.626 0.000
1.813 1.813 9.830
Al Zn La
1 2 2
direct
0.000 0.000 0.000 Al
0.250 0.750 0.500 Zn
0.750 0.250 0.500 Zn
0.603 0.603 0.793 La
0.397 0.397 0.207 La
```

Calculated values
The excess energy over the best structure of this formula in the dataset comes out at 209 meV per atom. The formation energy from the elements is -0.15 eV/atom. As for the energy: -3.38 eV per atom. The density of states at the Fermi level is 4.47 states/eV/f.u. Its space-group type is No. 139.

***

(4)
Compound: TbPmY4
Source: Alexandria
Functional: GGA-PBE
Structure: relaxed

Structure (POSCAR):
```
TbPmY4
1.0
-1.495 1.877 2.478
1.027 -4.316 3.889
8.764 4.072 2.203
Y Pm Tb
4 1 1
direct
0.997 0.501 0.314 Y
0.497 0.001 0.187 Y
0.997 0.501 0.689 Y
0.497 0.001 0.817 Y
0.997 0.001 0.502 Pm
0.497 0.501 0.002 Tb
```

Calculated values
The excess energy over the best structure of this formula in the dataset comes out at 127 meV per atom. The formation energy from the elements is 0.20 eV/atom. As for the energy: -5.68 eV per atom. The density of states at the Fermi level is 13.82 states/eV/f.u. Its space-group type is No. 47.

***

(5)
Compound: SrGa3CuNi
Source: Alexandria
Functional: GGA-PBE
Structure: relaxed

Structure (POSCAR):
```
SrGa3CuNi
1.0
-6.150 0.934 -0.575
-0.715 -0.902 6.181
1.163 6.339 -2.138
Ga Ni Cu Sr
6 2 2 2
direct
0.750 0.824 0.648 Ga
0.000 0.289 0.000 Ga
0.500 0.289 0.000 Ga
0.500 0.711 0.000 Ga
0.000 0.711 0.000 Ga
0.250 0.176 0.352 Ga
0.750 0.010 0.020 Ni
0.250 0.990 0.980 Ni
0.750 0.626 0.252 Cu
0.250 0.374 0.748 Cu
0.750 0.258 0.516 Sr
0.250 0.742 0.484 Sr
```

Calculated values
The formation energy from the elements is -0.24 eV/atom. As for the energy: -3.68 eV per atom. The density of states at the Fermi level is 1.35 states/eV/f.u. Its space-group type is No. 63.

***

(6)
Compound: La2YAg
Source: Alexandria
Functional: GGA-PBE
Structure: relaxed

Structure (POSCAR):
```
La2YAg
1.0
5.740 0.067 0.000
-0.078 5.740 0.000
0.000 0.000 3.746
Y La Ag
1 2 1
direct
0.500 0.000 0.500 Y
0.000 0.000 0.000 La
0.500 0.500 0.000 La
0.000 0.500 0.500 Ag
```

Calculated values
The excess energy over the best structure of this formula in the dataset comes out at 100 meV per atom. The formation energy from the elements is -0.03 eV/atom. As for the energy: -4.82 eV per atom. The density of states at the Fermi level is 5.12 states/eV/f.u. Its space-group type is No. 65.